Record 1
DFT (PBE) results for a relaxed structure of ZnCrTePb2.

Properties
D(E_F): 2.84 states/eV per cell
Spin magnetization: 4.538 μB/cell
Raw formation energy: 517 meV per atom

Cell: 5.4190 4.9684 5.4190 Å, 90.00 90.00 90.00°
Sites, in units of the cell vectors:
Pb (0.0000, 0.0000, 0.5000)
Pb (0.5000, 0.0000, 0.0000)
Cr (0.0000, 0.5000, 0.0000)
Zn (0.0000, 0.0000, 0.0000)
Te (0.5000, 0.5000, 0.5000)

Record 2
DFT (PBE) results for a relaxed structure of TiCrPb2.

Properties
D(E_F): 5.15 states/eV per cell
Spin magnetization: 4.628 μB/cell
Energy relative to the elements: 0.565 eV/atom

Cell: 7.7111 7.7111 6.2777 Å, 52.11 52.11 90.00°
Sites, in units of the cell vectors:
Pb (0.6345, 0.1250, 0.2500)
Pb (0.1155, 0.6250, 0.2500)
Pb (0.3750, 0.3655, 0.7500)
Pb (0.8750, 0.8845, 0.7500)
Cr (0.0000, 0.0000, 0.0000)
Cr (0.7500, 0.2500, 0.5000)
Ti (0.5000, 0.5000, 0.0000)
Ti (0.2500, 0.7500, 0.5000)